1.
Density functional theory data (PBE-GGA) for a relaxed structure of La7Pr6Y16.

The space group is Fm-3m (No. 225) and the conventional cell measures 16.2267, 16.2267 and 16.2267 Å, with angles of 90.00, 90.00 and 90.00 degrees. The distinct sites, in fractional coordinates, are La at (0.0000, 0.0000, 0.0000), La at (0.0000, 0.2500, 0.2500), Pr at (0.0000, 0.0000, 0.2525), Y at (0.1298, 0.1298, 0.1298) and Y at (0.1529, 0.1529, 0.3471).

The mass density comes out at 5.0 g/cm3. The calculated volume comes out at 36.83 A^3/atom. The value obtained for the formation energy is 22.9 kJ/mol of atoms.


2.
Density functional theory data (PBE-GGA) for a relaxed structure of La3Pr5Y.

The space group is C2/m (No. 12) and the conventional cell measures 12.2460, 8.7311 and 13.3031 Å, with angles of 90.00, 103.98 and 90.00 degrees. The distinct sites, in fractional coordinates, are La at (0.0000, 0.0000, 0.0000), La at (0.0000, 0.0000, 0.5000), La at (0.0695, 0.5000, 0.2090), La at (0.2256, 0.5000, 0.4528), Pr at (0.0000, 0.3152, 0.0000), Pr at (0.0716, 0.5000, 0.6176), Pr at (0.1544, 0.1899, 0.7771), Pr at (0.2339, 0.5000, 0.9570) and Y at (0.1284, 0.0000, 0.2677).

The mass density comes out at 5.8 g/cm3. The calculated volume comes out at 38.34 A^3/atom. The value obtained for the formation energy is 36.3 kJ/mol of atoms.


What did the first record say?
Density functional theory data (PBE-GGA) for a relaxed structure of La7Pr6Y16.

The space group is Fm-3m (No. 225) and the conventional cell measures 16.2267, 16.2267 and 16.2267 Å, with angles of 90.00, 90.00 and 90.00 degrees. The distinct sites, in fractional coordinates, are La at (0.0000, 0.0000, 0.0000), La at (0.0000, 0.2500, 0.2500), Pr at (0.0000, 0.0000, 0.2525), Y at (0.1298, 0.1298, 0.1298) and Y at (0.1529, 0.1529, 0.3471).

The mass density comes out at 5.0 g/cm3. The calculated volume comes out at 36.83 A^3/atom. The value obtained for the formation energy is 22.9 kJ/mol of atoms.


> Which value of calculated volume does entry 2 give?

38.34 A^3/atom


> What is the formula in the first record?

La7Pr6Y16